VASP calculation (PBE-GGA) on crystalline TiNb3Tc at its relaxed geometry.

* electronic total energy: -87.09 eV for the cell shown
* magnetic moment: 0.06 μB/cell
* calculated formation energy: 4.93 eV per formula unit
* polymorph energy (0 for the lowest one): 4.82 eV per formula unit
* symmetry: I-4m2 (119)

The structure in POSCAR format:
```
TiNb3Tc
1.0
-2.5225 2.5225 8.9084
2.5225 -2.5225 8.9084
2.5225 2.5225 -8.9084
Ti Nb Tc
2 6 2
Direct
0.1841 0.1841 0.0000 Ti
0.8159 0.8159 0.0000 Ti
0.3722 0.6253 0.7469 Nb
0.3747 0.1215 0.7469 Nb
0.3747 0.6278 0.2531 Nb
0.5373 0.0373 0.5000 Nb
0.8785 0.6253 0.2531 Nb
0.9627 0.4627 0.5000 Nb
0.2500 0.7500 0.5000 Tc
0.5000 0.5000 0.0000 Tc
```